Entry 1:
{"formula": "Ca2NpO4", "functional": "PBE", "state": "optimized geometry", "lattice": [[-3.084, -1.396, 0.773], [2.436, -2.895, 4.490], [-0.755, 6.292, 0.553]], "species": ["Ca", "Ca", "Np", "O", "O", "O", "O"], "frac_coords": [[0.696, 0.706, 0.392], [0.304, 0.294, 0.608], [0.000, 0.000, 0.000], [0.876, 0.159, 0.752], [0.124, 0.841, 0.248], [0.628, 0.263, 0.255], [0.372, 0.737, 0.745]], "sg": "C2/m, No. 12", "e_form_raw_ev_per_atom": -2.92, "e_tot_ev_per_atom": -8.171, "m_tot_mub_per_fu": 3.000}



Entry 2:
{"formula": "YBi2Pd9", "functional": "PBE", "state": "optimized geometry", "lattice": [[4.138, 0.000, 0.000], [0.000, 4.138, 0.000], [0.000, 0.000, 12.390]], "species": ["Y", "Bi", "Bi", "Pd", "Pd", "Pd", "Pd", "Pd", "Pd", "Pd", "Pd", "Pd"], "frac_coords": [[0.000, 0.000, 0.000], [0.000, 0.000, 0.331], [0.000, 0.000, 0.669], [0.500, 0.500, 0.000], [0.500, 0.500, 0.337], [0.500, 0.500, 0.663], [0.500, 0.000, 0.167], [0.500, 0.000, 0.500], [0.500, 0.000, 0.833], [0.000, 0.500, 0.167], [0.000, 0.500, 0.500], [0.000, 0.500, 0.833]], "sg": "P4/mmm, No. 123", "ef_kj_per_mol_atoms": -43, "e_tot_ev_per_atom": -5.528, "m_tot_mub_per_fu": 0.000}